1.
This record from Alexandria via LeMat-Bulk describes crystalline La2PaI at its relaxed geometry. The functional is PBE.

Summary:
Its volume is 129.9 Å³ per cell. The value obtained for the total energy is -4.962 eV per atom.

```
La2PaI
1.0
5.6848 0.0000 0.0000
2.8424 4.9232 0.0000
2.8424 1.6411 4.6406
Pa La I
1 2 1
Direct
0.0000 0.0000 0.0000
0.2500 0.2500 0.2499
0.7500 0.7500 0.7501
0.5000 0.5000 0.5000
```

---

2.
This record from Alexandria via LeMat-Bulk describes crystalline P3SeCl at its relaxed geometry. The functional is PBE.

Summary:
The energy above the lowest structure with this stoichiometry comes out at 0.294 eV/atom. Its volume is 100.2 Å³ per cell. The value obtained for the total energy is -2.793 eV per atom.

```
P3SeCl
1.0
-0.8596 2.6367 3.7252
-0.8936 -3.8145 2.4938
4.4756 -0.2552 1.2134
Cl P Se
1 3 1
Direct
0.0000 0.0000 0.0000
0.0000 0.5000 0.0000
0.5000 0.0000 0.0000
0.0000 0.0000 0.5000
0.5000 0.5000 0.5000
```

---

3.
This record from Alexandria via LeMat-Bulk describes crystalline NaMgBiS3 at its relaxed geometry. The functional is PBE.

Summary:
Its volume is 263.5 Å³ per cell. The value obtained for the total energy is -4.142 eV per atom.

```
NaMgBiS3
1.0
-2.7689 -2.6019 1.0268
6.8662 -5.7953 3.8306
-0.7763 3.1985 6.0117
Bi Mg S Na
2 2 6 2
Direct
0.7500 0.3251 0.9098
0.2500 0.6749 0.0902
0.7500 0.9950 0.2547
0.2500 0.0050 0.7453
0.2500 0.1469 0.0782
0.2500 0.8582 0.4061
0.2500 0.4938 0.7540
0.7500 0.1418 0.5939
0.7500 0.5062 0.2460
0.7500 0.8531 0.9218
0.7500 0.6816 0.5828
0.2500 0.3184 0.4172
```